Entry 1:
## Al5Os (SCAN)

Data for Al5Os at its PBEsol-relaxed geometry.

Summary:
The value obtained for the density of states at the Fermi level is 1.90 states/eV/f.u. The energy of formation comes out at -336 meV per atom.

Lattice parameters (Å, degrees): 4.745 4.745 4.502 90.00 90.00 120.00
Element x y z (fractional)
Al 0.000 0.682 0.000
Al 0.318 0.318 0.000
Al 0.333 0.667 0.500
Al 0.667 0.333 0.500
Al 0.682 0.000 0.000
Os 0.000 0.000 0.500



Entry 2:
## Mg2CdSe (SCAN)

Data for Mg2CdSe at its PBEsol-relaxed geometry.

Summary:
The value obtained for the density of states at the Fermi level is 0.91 states/eV/f.u. The value obtained for the raw total energy is -15.600 eV/atom.

Lattice parameters (Å, degrees): 6.757 6.757 6.757 148.97 146.12 46.60
Element x y z (fractional)
Mg 0.000 0.000 0.000
Mg 0.734 0.234 0.500
Cd 0.413 0.413 0.000
Se 0.170 0.670 0.500



Entry 3:
## Ti2Ni21B6 (SCAN)

Data for Ti2Ni21B6 at its PBEsol-relaxed geometry.

Summary:
The value obtained for the density of states at the Fermi level is 18.56 states/eV/f.u. The energy of formation comes out at -363 meV per atom.

Lattice parameters (Å, degrees): 7.323 7.323 7.323 60.00 60.00 60.00
Element x y z (fractional)
Ti 0.250 0.250 0.250
Ti 0.750 0.750 0.750
Ni 0.000 0.000 0.000
Ni 0.000 0.000 0.340
Ni 0.000 0.000 0.660
Ni 0.000 0.340 0.000
Ni 0.000 0.340 0.660
Ni 0.000 0.660 0.000
Ni 0.000 0.660 0.340
Ni 0.149 0.617 0.617
Ni 0.340 0.000 0.000
Ni 0.340 0.000 0.660
Ni 0.340 0.660 0.000
Ni 0.383 0.383 0.383
Ni 0.383 0.383 0.851
Ni 0.383 0.851 0.383
Ni 0.617 0.149 0.617
Ni 0.617 0.617 0.149
Ni 0.617 0.617 0.617
Ni 0.660 0.000 0.000
Ni 0.660 0.000 0.340
Ni 0.660 0.340 0.000
Ni 0.851 0.383 0.383
B 0.269 0.269 0.731
B 0.269 0.731 0.269
B 0.269 0.731 0.731
B 0.731 0.269 0.269
B 0.731 0.269 0.731
B 0.731 0.731 0.269



Entry 4:
## Al2SiNi (SCAN)

Data for Al2SiNi at its PBEsol-relaxed geometry.

Summary:
The value obtained for the density of states at the Fermi level is 1.06 states/eV/f.u. For the excess energy over the best structure of this formula in the dataset, the calculation gives 0.0 meV/atom.

Lattice parameters (Å, degrees): 3.918 3.918 4.516 90.00 90.00 120.00
Element x y z (fractional)
Al 0.333 0.667 0.200
Al 0.667 0.333 0.800
Si 0.000 0.000 0.500
Ni 0.000 0.000 0.000



Entry 5:
## Sc4SiAu (SCAN)

Data for Sc4SiAu at its PBEsol-relaxed geometry.

Summary:
The value obtained for the density of states at the Fermi level is 5.99 states/eV/f.u. The value obtained for the raw total energy is -22.451 eV/atom.

Lattice parameters (Å, degrees): 5.505 5.505 5.505 60.00 60.00 60.00
Element x y z (fractional)
Sc 0.124 0.124 0.124
Sc 0.124 0.124 0.627
Sc 0.124 0.627 0.124
Sc 0.627 0.124 0.124
Si 0.750 0.750 0.750
Au 0.500 0.500 0.500



Entry 6:
## Mn2TlFe (SCAN)

Data for Mn2TlFe at its PBEsol-relaxed geometry.

Summary:
The value obtained for the density of states at the Fermi level is 2.57 states/eV/f.u. The energy of formation comes out at 176 meV per atom. For the excess energy over the best structure of this formula in the dataset, the calculation gives 0.0 meV/atom.

Lattice parameters (Å, degrees): 2.993 2.993 6.301 90.00 90.00 90.00
Element x y z (fractional)
Mn 0.000 0.000 0.201
Mn 0.000 0.000 0.799
Tl 0.500 0.500 0.500
Fe 0.500 0.500 0.000